Sn2As2Pb, relaxed, DFT PBE-GGA; space-group type = R-3m; relative energy among the computed polymorphs = 0.000 eV/f.u.; calculated formation energy = -0.082 eV per atom; calculated density = 7.2 Mg/m³
1.0
4.125 0.000 0.961
1.951 3.635 0.961
0.041 0.024 9.158
As Sn Pb
2 2 1
direct
0.405 0.405 0.786 As
0.595 0.595 0.214 As
0.791 0.791 0.628 Sn
0.209 0.209 0.372 Sn
0.000 0.000 0.000 Pb